VASP calculation (PBE) on a relaxed Tb2Zn2Cd crystal.

Computed properties:
VASP energy = -14.41 eV for the cell shown
Formation enthalpy at 0 K = -0.34 eV per atom
Density of states at the Fermi level = 5.2 states/eV/f.u.

Unit cell a=3.6470 b=4.4444 c=7.4195 alpha=107.43 beta=90.00 gamma=90.00
With the nearest neighbours (Å) after each atom.
Positions (direct):
Zn: 0.0000 0.7983 0.5965  2 Zn 2.61, 1 Cd 2.86
Zn: 0.0000 0.2017 0.4035  2 Zn 2.61, 1 Cd 2.86
Tb: 0.5000 0.3737 0.7473  6 Zn 3.04-3.07, 4 Cd 3.39
Tb: 0.5000 0.6263 0.2527  6 Zn 3.04-3.07, 4 Cd 3.39
Cd: 0.0000 0.0000 0.0000  2 Zn 2.86